The following is a PBE calculation of crystalline SrCaCu2Si2 at its relaxed geometry, from Alexandria via LeMat-Bulk.

Lattice parameters (Å, degrees): 4.075 4.075 9.022 90.00 90.00 120.00
Atoms (fractional coordinates):
Sr 0.000 0.000 0.000
Ca 0.000 0.000 0.500
Cu 0.667 0.333 0.737
Cu 0.333 0.667 0.263
Si 0.667 0.333 0.260
Si 0.333 0.667 0.740

## Properties
Space group ... P-3m1, No. 164
Uncorrected formation energy ... -0.37 eV/atom
Energy ... -4.158 eV/atom